# NaTa2Ag (PBE, relaxed)
# * V: 73.5 Å³/cell
# * DOS at the Fermi energy: 2.18 states/eV/f.u.
# * formation energy from the elements: 1.1097 eV/atom
# * energy: -5.859 eV/atom
data_NaTa2Ag
_chemical_formula_sum 'Na1 Ta2 Ag1'
_space_group_name_H-M_alt 'P 1'
_space_group_IT_number 1
_space_group_name_Hall 'P 1'
_cell_length_a 4.702
_cell_length_b 4.702
_cell_length_c 4.702
_cell_angle_alpha 60.00
_cell_angle_beta 60.00
_cell_angle_gamma 60.00
loop_
_atom_site_label
_atom_site_type_symbol
_atom_site_fract_x
_atom_site_fract_y
_atom_site_fract_z
_atom_site_occupancy
Na1 Na 0.000 0.000 0.000 1
Ta1 Ta 0.250 0.250 0.250 1
Ta2 Ta 0.750 0.750 0.750 1
Ag1 Ag 0.500 0.500 0.500 1

# Co3TcBr (PBE, relaxed)
# * formation energy without anion corrections: 7.61 eV per formula unit
# * V: 94.4 Å³/cell
# * DOS at the Fermi energy: 8.65 states/eV/f.u.
# * energy: -5.149 eV/atom
data_Co3TcBr
_chemical_formula_sum 'Co3 Tc1 Br1'
_space_group_name_H-M_alt 'P 1'
_space_group_IT_number 1
_space_group_name_Hall 'P 1'
_cell_length_a 4.554
_cell_length_b 4.554
_cell_length_c 4.554
_cell_angle_alpha 90.00
_cell_angle_beta 90.00
_cell_angle_gamma 90.00
loop_
_atom_site_label
_atom_site_type_symbol
_atom_site_fract_x
_atom_site_fract_y
_atom_site_fract_z
_atom_site_occupancy
Co1 Co 0.000 0.000 0.500 1
Co2 Co 0.000 0.500 0.000 1
Co3 Co 0.500 0.000 0.000 1
Tc1 Tc 0.000 0.000 0.000 1
Br1 Br 0.500 0.500 0.500 1